# 1
First-principles (PBE-GGA) data for a geometry-optimized LiPa2Ge4Rh3 structure, as listed in Alexandria.

Calculated values
Formation enthalpy at 0 K in eV/atom: -0.6345
Total DFT energy (no corrections) in eV/atom: -6.777
DOS(E_F) in states/eV/cell: 8.13

Lattice parameters (Å, degrees): 4.1957 4.1957 10.1050 90.00 90.00 90.00
Positions (direct):
Li 0.0000 0.0000 0.0000
Pa 0.0000 0.5000 0.7509
Pa 0.5000 0.0000 0.2491
Ge 0.0000 0.0000 0.5000
Ge 0.0000 0.5000 0.1320
Ge 0.5000 0.0000 0.8680
Ge 0.5000 0.5000 0.5000
Rh 0.0000 0.5000 0.3708
Rh 0.5000 0.0000 0.6292
Rh 0.5000 0.5000 0.0000



# 2
First-principles (PBE-GGA) data for a geometry-optimized Sb2TeSI structure, as listed in Alexandria.

Calculated values
Total DFT energy (no corrections) in eV/atom: -2.058
Energy above the most stable polymorph in this dataset in eV per atom: 0.839
Formation energy from raw total energies in meV per atom: 1355
DOS(E_F) in states/eV/cell: 7.87

Lattice parameters (Å, degrees): 5.8676 5.8676 5.6023 90.00 90.00 90.00
Positions (direct):
Sb 0.0000 0.5000 0.0000
Sb 0.5000 0.0000 0.0000
Te 0.0000 0.0000 0.5000
S 0.5000 0.5000 0.5000
I 0.0000 0.0000 0.0000



Repeat the second record exactly.
First-principles (PBE-GGA) data for a geometry-optimized Sb2TeSI structure, as listed in Alexandria.

Calculated values
Total DFT energy (no corrections) in eV/atom: -2.058
Energy above the most stable polymorph in this dataset in eV per atom: 0.839
Formation energy from raw total energies in meV per atom: 1355
DOS(E_F) in states/eV/cell: 7.87

Lattice parameters (Å, degrees): 5.8676 5.8676 5.6023 90.00 90.00 90.00
Positions (direct):
Sb 0.0000 0.5000 0.0000
Sb 0.5000 0.0000 0.0000
Te 0.0000 0.0000 0.5000
S 0.5000 0.5000 0.5000
I 0.0000 0.0000 0.0000



Q: The highest DOS(E_F) belongs to which entry?
A: LiPa2Ge4Rh3



Copy entry 1 word for word.
First-principles (PBE-GGA) data for a geometry-optimized LiPa2Ge4Rh3 structure, as listed in Alexandria.

Calculated values
Formation enthalpy at 0 K in eV/atom: -0.6345
Total DFT energy (no corrections) in eV/atom: -6.777
DOS(E_F) in states/eV/cell: 8.13

Lattice parameters (Å, degrees): 4.1957 4.1957 10.1050 90.00 90.00 90.00
Positions (direct):
Li 0.0000 0.0000 0.0000
Pa 0.0000 0.5000 0.7509
Pa 0.5000 0.0000 0.2491
Ge 0.0000 0.0000 0.5000
Ge 0.0000 0.5000 0.1320
Ge 0.5000 0.0000 0.8680
Ge 0.5000 0.5000 0.5000
Rh 0.0000 0.5000 0.3708
Rh 0.5000 0.0000 0.6292
Rh 0.5000 0.5000 0.0000



Q: Which formula does entry 2 have?
A: Sb2TeSI